# NaNd4Sm3Se8

A geometry-optimized NaNd4Sm3Se8 structure (GGA-PBE, Alexandria).

Cell lengths 8.4059, 8.4059, 20.6223 Å; angles 90.00, 90.00, 120.00 degrees
Space group R-3m (No. 166, hexagonal axes)
Inequivalent atoms, fractional coordinates:
Na 0.0000 0.0000 0.0000
Nd 0.0000 0.0000 0.5000
Nd 0.0000 0.5000 0.5000
Sm 0.0000 0.5000 0.0000
Se 0.0000 0.0000 0.2517
Se 0.0018 0.5009 0.7479

Calculated values
* DOS(E_F): 0.51 states/eV per atom
* DFT total energy: -5.696 eV per atom



# VB2S6

A geometry-optimized VB2S6 structure (GGA-PBE, Alexandria).

Cell lengths 10.8730, 9.7738, 5.8527 Å; angles 90.00, 99.24, 90.00 degrees
Space group C2/c (No. 15)
Inequivalent atoms, fractional coordinates:
V 0.0000 0.1247 0.2500
B 0.2076 0.4339 0.3493
S 0.1129 0.0623 0.6048
S 0.1399 0.4277 0.6351
S 0.1534 0.2632 0.1910

Calculated values
* DOS(E_F): 0.35 states/eV per atom
* DFT total energy: -5.581 eV per atom



# Nd8NiP3I4

A geometry-optimized Nd8NiP3I4 structure (GGA-PBE, Alexandria).

Cell lengths 8.4590, 8.4590, 23.0918 Å; angles 90.00, 90.00, 120.00 degrees
Space group R-3m (No. 166, hexagonal axes)
Inequivalent atoms, fractional coordinates:
Nd 0.0000 0.0000 0.2302
Nd 0.0103 0.5051 0.2300
Ni 0.0000 0.0000 0.5000
P 0.0000 0.5000 0.5000
I 0.0000 0.0000 0.0000
I 0.0000 0.5000 0.0000

Calculated values
* DOS(E_F): 0.60 states/eV per atom
* DFT total energy: -5.311 eV per atom